1.
Here is a geometry-optimized SrNbPd structure from the Open Quantum Materials Database. Energies are from GGA-PBE.

For the total magnetization, the calculation gives 9.1 μB/cell. For the excess energy over the best structure of this formula in the dataset, the calculation gives 0.000 eV/atom.

The space group is F-43m (No. 216) and the conventional cell measures 6.8070, 6.8070 and 6.8070 Å, with angles of 90.00, 90.00 and 90.00 degrees. The asymmetric unit holds Sr at (0.0000, 0.0000, 0.0000), Nb at (0.0000, 0.0000, 0.5000) and Pd at (0.2500, 0.2500, 0.7500).



2.
Here is a geometry-optimized Y2Si2Pt structure from the Open Quantum Materials Database. Energies are from GGA-PBE.

For the total magnetization, the calculation gives 0.0 μB/cell. The calculation puts the energy at -6.98 eV per atom.

The space group is P4/mbm (No. 127) and the conventional cell measures 6.5169, 6.5169 and 4.5467 Å, with angles of 90.00, 90.00 and 90.00 degrees. The asymmetric unit holds Y at (0.1740, 0.3260, 0.0000), Si at (0.1340, 0.6340, 0.5000) and Pt at (0.0000, 0.0000, 0.5000).



3.
Here is a geometry-optimized MgGeMoW structure from the Open Quantum Materials Database. Energies are from GGA-PBE.

For the total magnetization, the calculation gives 0.0 μB/cell. For the excess energy over the best structure of this formula in the dataset, the calculation gives 0.000 eV/atom.

The space group is F-43m (No. 216) and the conventional cell measures 6.3148, 6.3148 and 6.3148 Å, with angles of 90.00, 90.00 and 90.00 degrees. The asymmetric unit holds Mg at (0.0000, 0.0000, 0.0000), Ge at (0.2500, 0.2500, 0.2500), Mo at (0.2500, 0.2500, 0.7500) and W at (0.0000, 0.0000, 0.5000).



Repeat the first record exactly.
Here is a geometry-optimized SrNbPd structure from the Open Quantum Materials Database. Energies are from GGA-PBE.

For the total magnetization, the calculation gives 9.1 μB/cell. For the excess energy over the best structure of this formula in the dataset, the calculation gives 0.000 eV/atom.

The space group is F-43m (No. 216) and the conventional cell measures 6.8070, 6.8070 and 6.8070 Å, with angles of 90.00, 90.00 and 90.00 degrees. The asymmetric unit holds Sr at (0.0000, 0.0000, 0.0000), Nb at (0.0000, 0.0000, 0.5000) and Pd at (0.2500, 0.2500, 0.7500).